## BeCrTcPt (GGA-PBE)

Data for crystalline BeCrTcPt at its relaxed geometry.

The crystal system is cubic. The total energy is -7.639 eV/atom. As for the density of states at the Fermi level: 15.8 states/eV/cell.

The structure belongs to space group F-43m (No. 216); the cell edges are 5.878, 5.878 and 5.878 Å and the angles 90.00°, 90.00° and 90.00°. The asymmetric unit holds Be at (0.000, 0.000, 0.000), Cr at (0.000, 0.000, 0.500), Tc at (0.250, 0.250, 0.250) and Pt at (0.250, 0.250, 0.750).